(1)
! LiBF2 (PBE-GGA, relaxed); values from VASP
! Relative energy among the computed polymorphs in eV per formula unit: 1.82
! Energy relative to the elements, uncorrected in eV per atom: -1.011
! ρ in g cm⁻³: 1.8
&SYSTEM
  ibrav = 0, nat = 8, ntyp = 3
/
ATOMIC_SPECIES
F 19.00 F.upf
B 10.81 B.upf
Li 6.94 Li.upf
CELL_PARAMETERS angstrom
-3.594 -3.089 -0.158
3.047 -3.494 -0.998
0.243 -4.121 3.902
ATOMIC_POSITIONS crystal
F 0.167 0.625 0.250
F 0.375 0.417 0.750
F 0.875 0.833 0.750
F 0.583 0.125 0.250
B 0.000 0.000 0.000
B 0.750 0.250 0.500
Li 0.250 0.750 0.500
Li 0.500 0.500 0.000


(2)
! LiBF4 (PBE-GGA, relaxed); values from VASP
! Energy relative to the elements, uncorrected in eV per atom: -2.958
! ρ in g cm⁻³: 1.9
&SYSTEM
  ibrav = 0, nat = 6, ntyp = 3
/
ATOMIC_SPECIES
F 19.00 F.upf
Li 6.94 Li.upf
B 10.81 B.upf
CELL_PARAMETERS angstrom
-0.602 4.189 -1.792
0.322 -1.764 -4.232
-3.697 -1.787 2.959
ATOMIC_POSITIONS crystal
F 0.753 0.402 0.211
F 0.191 0.247 0.789
F 0.458 0.809 0.211
F 0.598 0.542 0.789
Li 0.750 0.250 0.500
B 0.500 0.500 0.000


(3)
! LiBF2 (PBE-GGA, relaxed); values from VASP
! Relative energy among the computed polymorphs in eV per formula unit: 0.00
! Energy relative to the elements, uncorrected in eV per atom: -1.464
! ρ in g cm⁻³: 2.9
&SYSTEM
  ibrav = 0, nat = 4, ntyp = 3
/
ATOMIC_SPECIES
F 19.00 F.upf
B 10.81 B.upf
Li 6.94 Li.upf
CELL_PARAMETERS angstrom
1.475 0.000 5.555
-0.738 1.277 5.555
-0.738 -1.277 5.555
ATOMIC_POSITIONS crystal
F 0.096 0.096 0.096
F 0.904 0.904 0.904
B 0.000 0.000 0.000
Li 0.500 0.500 0.500


(4)
! LiB3F9 (PBE-GGA, relaxed); values from VASP
! Energy relative to the elements, uncorrected in eV per atom: -2.651
! ρ in g cm⁻³: 2.0
&SYSTEM
  ibrav = 0, nat = 26, ntyp = 3
/
ATOMIC_SPECIES
F 19.00 F.upf
Li 6.94 Li.upf
B 10.81 B.upf
CELL_PARAMETERS angstrom
5.430 0.000 2.285
2.192 6.932 2.386
-0.689 0.395 9.232
ATOMIC_POSITIONS crystal
F 0.618 0.125 0.869
F 0.617 0.827 0.337
F 0.684 0.555 0.880
F 0.672 0.689 0.137
F 0.502 0.189 0.637
F 0.732 0.764 0.633
F 0.352 0.227 0.347
F 0.233 0.005 0.176
F 0.388 0.625 0.369
F 0.936 0.430 0.379
F 0.881 0.055 0.380
F 0.074 0.727 0.847
F 0.254 0.930 0.879
F 0.232 0.942 0.630
F 0.220 0.327 0.837
F 0.585 0.505 0.676
F 0.196 0.442 0.130
F 0.871 0.264 0.133
Li 0.951 0.509 0.987
Li 0.553 0.009 0.487
B 0.141 0.332 0.283
B 0.606 0.637 0.739
B 0.018 0.137 0.239
B 0.450 0.214 0.782
B 0.244 0.832 0.783
B 0.554 0.714 0.282


(5)
! LiB2F8 (PBE-GGA, relaxed); values from VASP
! Energy relative to the elements, uncorrected in eV per atom: -2.556
! ρ in g cm⁻³: 2.2
&SYSTEM
  ibrav = 0, nat = 11, ntyp = 3
/
ATOMIC_SPECIES
F 19.00 F.upf
B 10.81 B.upf
Li 6.94 Li.upf
CELL_PARAMETERS angstrom
-2.438 -0.452 4.091
2.801 -4.205 1.909
3.340 2.979 3.024
ATOMIC_POSITIONS crystal
F 0.648 0.174 0.174
F 0.289 0.402 0.402
F 0.231 0.313 0.001
F 0.769 0.687 0.999
F 0.352 0.826 0.826
F 0.711 0.598 0.598
F 0.769 0.999 0.687
F 0.231 0.001 0.313
B 0.352 0.225 0.225
B 0.648 0.775 0.775
Li 0.000 0.000 0.000


(6)
! LiB3F12 (PBE-GGA, relaxed); values from VASP
! Energy relative to the elements, uncorrected in eV per atom: -2.446
! ρ in g cm⁻³: 1.9
&SYSTEM
  ibrav = 0, nat = 32, ntyp = 3
/
ATOMIC_SPECIES
F 19.00 F.upf
B 10.81 B.upf
Li 6.94 Li.upf
CELL_PARAMETERS angstrom
7.625 0.000 3.682
2.924 7.043 3.682
0.317 0.211 9.081
ATOMIC_POSITIONS crystal
F 0.116 0.001 0.146
F 0.144 0.545 0.979
F 0.872 0.262 0.856
F 0.436 0.815 0.049
F 0.762 0.372 0.356
F 0.010 0.872 0.856
F 0.045 0.644 0.479
F 0.832 0.045 0.479
F 0.736 0.116 0.146
F 0.501 0.616 0.646
F 0.699 0.436 0.049
F 0.332 0.144 0.979
F 0.236 0.501 0.646
F 0.644 0.832 0.479
F 0.815 0.699 0.049
F 0.510 0.762 0.356
F 0.616 0.236 0.646
F 0.001 0.736 0.146
F 0.315 0.936 0.549
F 0.262 0.010 0.856
F 0.936 0.199 0.549
F 0.199 0.315 0.549
F 0.545 0.332 0.979
F 0.372 0.510 0.356
B 0.490 0.789 0.506
B 0.715 0.289 0.006
B 0.789 0.215 0.506
B 0.990 0.715 0.006
B 0.289 0.990 0.006
B 0.215 0.490 0.506
Li 0.599 0.599 0.203
Li 0.099 0.099 0.703


(7)
! LiBF2 (PBE-GGA, relaxed); values from VASP
! Relative energy among the computed polymorphs in eV per formula unit: 2.95
! Energy relative to the elements, uncorrected in eV per atom: -0.726
! ρ in g cm⁻³: 1.6
&SYSTEM
  ibrav = 0, nat = 4, ntyp = 3
/
ATOMIC_SPECIES
Li 6.94 Li.upf
F 19.00 F.upf
B 10.81 B.upf
CELL_PARAMETERS angstrom
-5.361 -3.335 0.716
-2.935 -5.601 0.621
-3.573 -3.969 3.443
ATOMIC_POSITIONS crystal
Li 0.000 0.000 0.000
F 0.094 0.094 0.094
F 0.906 0.906 0.906
B 0.500 0.500 0.500


(8)
! LiB2F8 (PBE-GGA, relaxed); values from VASP
! Energy relative to the elements, uncorrected in eV per atom: -2.554
! ρ in g cm⁻³: 2.1
&SYSTEM
  ibrav = 0, nat = 11, ntyp = 3
/
ATOMIC_SPECIES
F 19.00 F.upf
B 10.81 B.upf
Li 6.94 Li.upf
CELL_PARAMETERS angstrom
5.415 0.000 0.000
0.000 4.727 -2.729
0.000 0.000 5.458
ATOMIC_POSITIONS crystal
F 0.728 0.809 0.617
F 0.272 0.191 0.809
F 0.728 0.809 0.191
F 0.272 0.617 0.809
F 0.616 0.333 0.667
F 0.384 0.667 0.333
F 0.728 0.383 0.191
F 0.272 0.191 0.383
B 0.353 0.333 0.667
B 0.647 0.667 0.333
Li 0.500 0.000 0.000


(9)
! LiBF4 (PBE-GGA, relaxed); values from VASP
! Energy relative to the elements, uncorrected in eV per atom: -2.944
! ρ in g cm⁻³: 2.4
&SYSTEM
  ibrav = 0, nat = 24, ntyp = 3
/
ATOMIC_SPECIES
B 10.81 B.upf
F 19.00 F.upf
Li 6.94 Li.upf
CELL_PARAMETERS angstrom
6.329 -0.059 1.097
0.290 6.323 1.097
-0.277 -0.262 6.379
ATOMIC_POSITIONS crystal
B 0.273 0.273 0.093
B 0.743 0.257 0.500
B 0.257 0.743 0.500
B 0.727 0.727 0.907
F 0.154 0.154 0.973
F 0.778 0.513 0.961
F 0.222 0.487 0.039
F 0.215 0.215 0.311
F 0.536 0.227 0.594
F 0.791 0.119 0.339
F 0.209 0.881 0.661
F 0.881 0.209 0.661
F 0.227 0.536 0.594
F 0.773 0.464 0.406
F 0.846 0.846 0.027
F 0.785 0.785 0.689
F 0.487 0.222 0.039
F 0.513 0.778 0.961
F 0.464 0.773 0.406
F 0.119 0.791 0.339
Li 0.797 0.203 0.000
Li 0.203 0.797 0.000
Li 0.220 0.220 0.613
Li 0.780 0.780 0.387


(10)
! Li6BF12 (PBE-GGA, relaxed); values from VASP
! Energy relative to the elements, uncorrected in eV per atom: -2.272
! ρ in g cm⁻³: 2.5
&SYSTEM
  ibrav = 0, nat = 19, ntyp = 3
/
ATOMIC_SPECIES
Li 6.94 Li.upf
F 19.00 F.upf
B 10.81 B.upf
CELL_PARAMETERS angstrom
-3.728 -2.192 3.745
3.663 -4.346 0.643
2.599 3.176 3.985
ATOMIC_POSITIONS crystal
Li 0.229 0.108 0.565
Li 0.108 0.565 0.229
Li 0.771 0.892 0.435
Li 0.435 0.771 0.892
Li 0.565 0.229 0.108
Li 0.892 0.435 0.771
F 0.065 0.956 0.276
F 0.546 0.161 0.451
F 0.276 0.065 0.956
F 0.839 0.549 0.454
F 0.549 0.454 0.839
F 0.935 0.044 0.724
F 0.451 0.546 0.161
F 0.956 0.276 0.065
F 0.724 0.935 0.044
F 0.044 0.724 0.935
F 0.454 0.839 0.549
F 0.161 0.451 0.546
B 0.000 0.000 0.000


(11)
! LiB3F (PBE-GGA, relaxed); values from VASP
! Relative energy among the computed polymorphs in eV per formula unit: 0.27
! Energy relative to the elements, uncorrected in eV per atom: 1.853
! ρ in g cm⁻³: 1.8
&SYSTEM
  ibrav = 0, nat = 5, ntyp = 3
/
ATOMIC_SPECIES
Li 6.94 Li.upf
F 19.00 F.upf
B 10.81 B.upf
CELL_PARAMETERS angstrom
3.747 0.000 0.000
0.000 3.747 0.000
0.000 0.000 3.747
ATOMIC_POSITIONS crystal
Li 0.000 0.000 0.000
F 0.500 0.500 0.500
B 0.500 0.000 0.000
B 0.000 0.000 0.500
B 0.000 0.500 0.000


(12)
! LiBF2 (PBE-GGA, relaxed); values from VASP
! Relative energy among the computed polymorphs in eV per formula unit: 2.77
! Energy relative to the elements, uncorrected in eV per atom: -0.773
! ρ in g cm⁻³: 2.3
&SYSTEM
  ibrav = 0, nat = 4, ntyp = 3
/
ATOMIC_SPECIES
B 10.81 B.upf
Li 6.94 Li.upf
F 19.00 F.upf
CELL_PARAMETERS angstrom
0.000 2.736 2.736
2.736 0.000 2.736
2.736 2.736 0.000
ATOMIC_POSITIONS crystal
B 0.500 0.500 0.500
Li 0.000 0.000 0.000
F 0.750 0.750 0.750
F 0.250 0.250 0.250